A plane-wave DFT calculation with PBE was carried out for In4HgI after structural relaxation.

For the final energy, the calculation gives -12.7 eV per cell. The total moment comes out at 0.0000 μB/atom. Its space group is No. 216. The energy relative to the elements, uncorrected is 13 kJ/mol of formula units. The value obtained for the density of states at the Fermi level is 3.05 states/eV/f.u.

Structure (CIF):
```
data_In4HgI
_chemical_formula_sum 'In4 Hg1 I1'
_cell_length_a 6.433
_cell_length_b 6.433
_cell_length_c 6.433
_cell_angle_alpha 60.00
_cell_angle_beta 60.00
_cell_angle_gamma 60.00
_space_group_name_H-M_alt 'P 1'
_space_group_IT_number 1
loop_
_space_group_symop_operation_xyz
'x,y,z'
loop_
_atom_site_label
_atom_site_fract_x
_atom_site_fract_y
_atom_site_fract_z
In1 0.376 0.376 0.376
In2 0.376 0.376 0.872
In3 0.376 0.872 0.376
In4 0.872 0.376 0.376
Hg1 0.750 0.750 0.750
I1 0.000 0.000 0.000
```



A plane-wave DFT calculation with PBE was carried out for InHgI2 after structural relaxation.

For the final energy, the calculation gives -13.7 eV per cell. The total moment comes out at 0.0000 μB/atom. Its space group is No. 122. The energy relative to the elements, uncorrected is -70 kJ/mol of formula units. The value obtained for the density of states at the Fermi level is 0.43 states/eV/f.u.

Structure (CIF):
```
data_InHgI2
_chemical_formula_sum 'In2 Hg2 I4'
_cell_length_a 10.120
_cell_length_b 10.120
_cell_length_c 10.120
_cell_angle_alpha 140.91
_cell_angle_beta 140.91
_cell_angle_gamma 56.48
_space_group_name_H-M_alt 'P 1'
_space_group_IT_number 1
loop_
_space_group_symop_operation_xyz
'x,y,z'
loop_
_atom_site_label
_atom_site_fract_x
_atom_site_fract_y
_atom_site_fract_z
In1 0.000 0.000 0.000
In2 0.750 0.250 0.500
Hg1 0.250 0.750 0.500
Hg2 0.500 0.500 0.000
I1 0.168 0.625 0.043
I2 0.375 0.418 0.543
I3 0.582 0.125 0.957
I4 0.875 0.832 0.457
```



A plane-wave DFT calculation with PBE was carried out for In4HgI2 after structural relaxation.

For the final energy, the calculation gives -14.6 eV per cell. The total moment comes out at 0.0000 μB/atom. Its space group is No. 139. The energy relative to the elements, uncorrected is -21 kJ/mol of formula units. The value obtained for the density of states at the Fermi level is 3.03 states/eV/f.u.

Structure (CIF):
```
data_In4HgI2
_chemical_formula_sum 'In4 Hg1 I2'
_cell_length_a 9.948
_cell_length_b 9.948
_cell_length_c 9.948
_cell_angle_alpha 147.72
_cell_angle_beta 147.72
_cell_angle_gamma 46.30
_space_group_name_H-M_alt 'P 1'
_space_group_IT_number 1
loop_
_space_group_symop_operation_xyz
'x,y,z'
loop_
_atom_site_label
_atom_site_fract_x
_atom_site_fract_y
_atom_site_fract_z
In1 0.000 0.500 0.500
In2 0.171 0.171 0.000
In3 0.500 0.000 0.500
In4 0.829 0.829 0.000
Hg1 0.000 0.000 0.000
I1 0.360 0.360 0.000
I2 0.640 0.640 0.000
```



A plane-wave DFT calculation with PBE was carried out for InHgI2 after structural relaxation.

For the final energy, the calculation gives -7.4 eV per cell. The total moment comes out at 0.0000 μB/atom. Its space group is No. 6. The energy relative to the elements, uncorrected is -122 kJ/mol of formula units. The value obtained for the density of states at the Fermi level is 0.99 states/eV/f.u.

Structure (CIF):
```
data_InHgI2
_chemical_formula_sum 'In1 Hg1 I2'
_cell_length_a 5.958
_cell_length_b 4.222
_cell_length_c 6.585
_cell_angle_alpha 90.00
_cell_angle_beta 112.18
_cell_angle_gamma 90.00
_space_group_name_H-M_alt 'P 1'
_space_group_IT_number 1
loop_
_space_group_symop_operation_xyz
'x,y,z'
loop_
_atom_site_label
_atom_site_fract_x
_atom_site_fract_y
_atom_site_fract_z
In1 0.000 0.000 0.000
Hg1 0.260 0.500 0.861
I1 0.509 0.000 0.641
I2 0.844 0.500 0.260
```



A plane-wave DFT calculation with PBE was carried out for InHg2I after structural relaxation.

For the final energy, the calculation gives -11.5 eV per cell. The total moment comes out at 0.0000 μB/atom. Its space group is No. 11. The energy relative to the elements, uncorrected is -85 kJ/mol of formula units.

Structure (CIF):
```
data_InHg2I
_chemical_formula_sum 'In2 Hg4 I2'
_cell_length_a 6.814
_cell_length_b 4.919
_cell_length_c 8.469
_cell_angle_alpha 90.00
_cell_angle_beta 102.23
_cell_angle_gamma 90.00
_space_group_name_H-M_alt 'P 1'
_space_group_IT_number 1
loop_
_space_group_symop_operation_xyz
'x,y,z'
loop_
_atom_site_label
_atom_site_fract_x
_atom_site_fract_y
_atom_site_fract_z
In1 0.204 0.250 0.319
In2 0.796 0.750 0.681
Hg1 0.102 0.250 0.876
Hg2 0.403 0.750 0.100
Hg3 0.597 0.250 0.900
Hg4 0.898 0.750 0.124
I1 0.272 0.750 0.580
I2 0.728 0.250 0.420
```



A plane-wave DFT calculation with PBE was carried out for In12Hg5I3 after structural relaxation.

For the final energy, the calculation gives -144.8 eV per cell. The total moment comes out at 0.0000 μB/atom. Its space group is No. 230. The energy relative to the elements, uncorrected is 273 kJ/mol of formula units. The value obtained for the density of states at the Fermi level is 10.61 states/eV/f.u.

Structure (CIF):
```
data_In12Hg5I3
_chemical_formula_sum 'In48 Hg20 I12'
_cell_length_a 15.787
_cell_length_b 15.787
_cell_length_c 15.787
_cell_angle_alpha 109.47
_cell_angle_beta 109.47
_cell_angle_gamma 109.47
_space_group_name_H-M_alt 'P 1'
_space_group_IT_number 1
loop_
_space_group_symop_operation_xyz
'x,y,z'
loop_
_atom_site_label
_atom_site_fract_x
_atom_site_fract_y
_atom_site_fract_z
In1 0.051 0.216 0.136
In2 0.051 0.335 0.915
In3 0.081 0.716 0.665
In4 0.081 0.864 0.415
In5 0.085 0.636 0.419
In6 0.085 0.949 0.665
In7 0.136 0.051 0.216
In8 0.136 0.585 0.919
In9 0.165 0.216 0.581
In10 0.165 0.449 0.585
In11 0.216 0.136 0.051
In12 0.216 0.581 0.165
In13 0.284 0.335 0.919
In14 0.284 0.449 0.364
In15 0.335 0.915 0.051
In16 0.335 0.919 0.284
In17 0.364 0.284 0.449
In18 0.364 0.581 0.915
In19 0.415 0.081 0.864
In20 0.415 0.835 0.551
In21 0.419 0.085 0.636
In22 0.419 0.835 0.784
In23 0.449 0.364 0.284
In24 0.449 0.585 0.165
In25 0.551 0.415 0.835
In26 0.551 0.636 0.716
In27 0.581 0.165 0.216
In28 0.581 0.915 0.364
In29 0.585 0.165 0.449
In30 0.585 0.919 0.136
In31 0.636 0.419 0.085
In32 0.636 0.716 0.551
In33 0.665 0.081 0.716
In34 0.665 0.085 0.949
In35 0.716 0.551 0.636
In36 0.716 0.665 0.081
In37 0.784 0.419 0.835
In38 0.784 0.864 0.949
In39 0.835 0.551 0.415
In40 0.835 0.784 0.419
In41 0.864 0.415 0.081
In42 0.864 0.949 0.784
In43 0.915 0.051 0.335
In44 0.915 0.364 0.581
In45 0.919 0.136 0.585
In46 0.919 0.284 0.335
In47 0.949 0.665 0.085
In48 0.949 0.784 0.864
Hg1 0.000 0.000 0.000
Hg2 0.000 0.000 0.500
Hg3 0.000 0.500 0.000
Hg4 0.000 0.500 0.500
Hg5 0.125 0.750 0.875
Hg6 0.125 0.875 0.250
Hg7 0.250 0.125 0.875
Hg8 0.250 0.625 0.375
Hg9 0.375 0.250 0.625
Hg10 0.375 0.625 0.750
Hg11 0.500 0.000 0.000
Hg12 0.500 0.000 0.500
Hg13 0.500 0.500 0.000
Hg14 0.500 0.500 0.500
Hg15 0.625 0.375 0.250
Hg16 0.625 0.750 0.375
Hg17 0.750 0.375 0.625
Hg18 0.750 0.875 0.125
Hg19 0.875 0.125 0.750
Hg20 0.875 0.250 0.125
I1 0.125 0.250 0.375
I2 0.125 0.375 0.750
I3 0.250 0.375 0.125
I4 0.250 0.875 0.625
I5 0.375 0.125 0.250
I6 0.375 0.750 0.125
I7 0.625 0.250 0.875
I8 0.625 0.875 0.750
I9 0.750 0.125 0.375
I10 0.750 0.625 0.875
I11 0.875 0.625 0.250
I12 0.875 0.750 0.625
```